(1)
The following is a DFT calculation (PBE-GGA) of a relaxed PmSmSc2 crystal.

Cell: 5.014 5.014 4.599 Å, 90.00 90.00 90.00°
Positions (direct):
Pm (0.000, 0.000, 0.000)
Sm (0.500, 0.500, 0.000)
Sc (0.000, 0.500, 0.500)
Sc (0.500, 0.000, 0.500)

Values from the calculation:
* SG: No. 123
* calculated volume: 28.91 A^3/atom
* energy relative to the elements: 5 kJ per mole of atoms


(2)
The following is a DFT calculation (PBE-GGA) of a relaxed Pm5Sm2Sc2 crystal.

Cell: 10.097 10.097 8.593 Å, 102.44 102.44 19.84°
Positions (direct):
Pm (0.000, 0.000, 0.000)
Pm (0.219, 0.219, 0.648)
Pm (0.337, 0.337, 0.013)
Pm (0.663, 0.663, 0.987)
Pm (0.781, 0.781, 0.352)
Sm (0.055, 0.055, 0.662)
Sm (0.945, 0.945, 0.338)
Sc (0.400, 0.400, 0.653)
Sc (0.600, 0.600, 0.347)

Values from the calculation:
* SG: No. 12
* calculated volume: 32.24 A^3/atom
* energy relative to the elements: 12 kJ per mole of atoms


(3)
The following is a DFT calculation (PBE-GGA) of a relaxed Pm2Sm3Sc8 crystal.

Cell: 8.358 8.358 5.778 Å, 106.85 106.85 81.67°
Positions (direct):
Pm (0.203, 0.203, 0.338)
Pm (0.797, 0.797, 0.662)
Sm (0.262, 0.738, 0.000)
Sm (0.500, 0.500, 0.500)
Sm (0.738, 0.262, 0.000)
Sc (0.061, 0.061, 0.764)
Sc (0.061, 0.581, 0.313)
Sc (0.333, 0.333, 0.942)
Sc (0.419, 0.939, 0.687)
Sc (0.581, 0.061, 0.313)
Sc (0.667, 0.667, 0.058)
Sc (0.939, 0.419, 0.687)
Sc (0.939, 0.939, 0.236)

Values from the calculation:
* SG: No. 12
* calculated volume: 28.37 A^3/atom
* energy relative to the elements: 16 kJ per mole of atoms


(4)
The following is a DFT calculation (PBE-GGA) of a relaxed Pm5Sm8Sc crystal.

Cell: 8.530 8.530 8.530 Å, 110.59 110.59 107.25°
Positions (direct):
Pm (0.000, 0.000, 0.000)
Pm (0.317, 0.212, 0.686)
Pm (0.370, 0.683, 0.895)
Pm (0.525, 0.630, 0.314)
Pm (0.788, 0.475, 0.105)
Sm (0.023, 0.762, 0.603)
Sm (0.058, 0.329, 0.895)
Sm (0.159, 0.419, 0.397)
Sm (0.238, 0.841, 0.261)
Sm (0.435, 0.163, 0.105)
Sm (0.581, 0.977, 0.739)
Sm (0.671, 0.565, 0.729)
Sm (0.837, 0.942, 0.271)
Sc (0.750, 0.250, 0.500)

Values from the calculation:
* SG: No. 82
* calculated volume: 34.09 A^3/atom
* energy relative to the elements: 24 kJ per mole of atoms


(5)
The following is a DFT calculation (PBE-GGA) of a relaxed PmSm3Sc crystal.

Cell: 11.124 11.124 6.610 Å, 93.50 93.50 52.50°
Positions (direct):
Pm (0.101, 0.899, 0.750)
Pm (0.248, 0.752, 0.250)
Pm (0.752, 0.248, 0.750)
Pm (0.899, 0.101, 0.250)
Sm (0.045, 0.255, 0.586)
Sm (0.086, 0.585, 0.925)
Sm (0.255, 0.045, 0.086)
Sm (0.366, 0.482, 0.605)
Sm (0.415, 0.914, 0.575)
Sm (0.482, 0.366, 0.105)
Sm (0.518, 0.634, 0.895)
Sm (0.585, 0.086, 0.425)
Sm (0.634, 0.518, 0.395)
Sm (0.745, 0.955, 0.914)
Sm (0.914, 0.415, 0.075)
Sm (0.955, 0.745, 0.414)
Sc (0.221, 0.347, 0.318)
Sc (0.347, 0.221, 0.818)
Sc (0.653, 0.779, 0.182)
Sc (0.779, 0.653, 0.682)

Values from the calculation:
* SG: No. 15
* calculated volume: 32.37 A^3/atom
* energy relative to the elements: 8 kJ per mole of atoms


(6)
The following is a DFT calculation (PBE-GGA) of a relaxed PmSm3Sc crystal.

Cell: 11.030 11.030 8.477 Å, 105.39 105.39 18.92°
Positions (direct):
Pm (0.091, 0.091, 0.094)
Pm (0.909, 0.909, 0.906)
Sm (0.119, 0.119, 0.515)
Sm (0.312, 0.312, 0.125)
Sm (0.482, 0.482, 0.277)
Sm (0.518, 0.518, 0.723)
Sm (0.688, 0.688, 0.875)
Sm (0.881, 0.881, 0.485)
Sc (0.280, 0.280, 0.669)
Sc (0.720, 0.720, 0.331)

Values from the calculation:
* SG: No. 12
* calculated volume: 32.21 A^3/atom
* energy relative to the elements: 4 kJ per mole of atoms


(7)
The following is a DFT calculation (PBE-GGA) of a relaxed Pm5Sm3Sc crystal.

Cell: 8.099 8.099 11.473 Å, 107.89 107.89 90.41°
Positions (direct):
Pm (0.041, 0.041, 0.385)
Pm (0.079, 0.549, 0.353)
Pm (0.195, 0.195, 0.908)
Pm (0.246, 0.754, 0.000)
Pm (0.451, 0.921, 0.647)
Pm (0.549, 0.079, 0.353)
Pm (0.754, 0.246, 0.000)
Pm (0.805, 0.805, 0.092)
Pm (0.921, 0.451, 0.647)
Pm (0.959, 0.959, 0.615)
Sm (0.121, 0.121, 0.157)
Sm (0.301, 0.301, 0.663)
Sm (0.500, 0.500, 0.000)
Sm (0.500, 0.500, 0.500)
Sm (0.699, 0.699, 0.337)
Sm (0.879, 0.879, 0.843)
Sc (0.405, 0.405, 0.203)
Sc (0.595, 0.595, 0.797)

Values from the calculation:
* SG: No. 12
* calculated volume: 37.62 A^3/atom
* energy relative to the elements: 54 kJ per mole of atoms


(8)
The following is a DFT calculation (PBE-GGA) of a relaxed PmSm8Sc3 crystal.

Cell: 6.154 6.154 11.444 Å, 90.09 90.09 120.16°
Positions (direct):
Pm (0.000, 0.000, 0.000)
Sm (0.001, 0.999, 0.500)
Sm (0.325, 0.675, 0.000)
Sm (0.325, 0.675, 0.500)
Sm (0.337, 0.341, 0.253)
Sm (0.659, 0.663, 0.747)
Sm (0.663, 0.337, 0.000)
Sm (0.666, 0.012, 0.253)
Sm (0.988, 0.334, 0.747)
Sc (0.331, 0.006, 0.747)
Sc (0.663, 0.337, 0.500)
Sc (0.994, 0.669, 0.253)

Values from the calculation:
* SG: No. 5
* calculated volume: 31.23 A^3/atom
* energy relative to the elements: 3 kJ per mole of atoms


(9)
The following is a DFT calculation (PBE-GGA) of a relaxed Pm2Sm3Sc3 crystal.

Cell: 10.518 10.518 10.518 Å, 153.17 152.57 38.74°
Positions (direct):
Pm (0.248, 0.248, 0.000)
Pm (0.752, 0.752, 0.000)
Sm (0.000, 0.000, 0.000)
Sm (0.380, 0.880, 0.500)
Sm (0.620, 0.120, 0.500)
Sc (0.122, 0.622, 0.500)
Sc (0.500, 0.500, 0.000)
Sc (0.878, 0.378, 0.500)

Values from the calculation:
* SG: No. 71
* calculated volume: 30.18 A^3/atom
* energy relative to the elements: 5 kJ per mole of atoms


(10)
The following is a DFT calculation (PBE-GGA) of a relaxed Pm12Sm6Sc crystal.

Cell: 8.667 8.667 8.667 Å, 89.29 89.29 89.29°
Positions (direct):
Pm (0.018, 0.358, 0.190)
Pm (0.190, 0.018, 0.358)
Pm (0.219, 0.563, 0.465)
Pm (0.358, 0.190, 0.018)
Pm (0.437, 0.535, 0.781)
Pm (0.465, 0.219, 0.563)
Pm (0.535, 0.781, 0.437)
Pm (0.563, 0.465, 0.219)
Pm (0.642, 0.810, 0.982)
Pm (0.781, 0.437, 0.535)
Pm (0.810, 0.982, 0.642)
Pm (0.982, 0.642, 0.810)
Sm (0.095, 0.261, 0.704)
Sm (0.261, 0.704, 0.095)
Sm (0.296, 0.905, 0.739)
Sm (0.704, 0.095, 0.261)
Sm (0.739, 0.296, 0.905)
Sm (0.905, 0.739, 0.296)
Sc (0.000, 0.000, 0.000)

Values from the calculation:
* SG: No. 148
* calculated volume: 34.25 A^3/atom
* energy relative to the elements: 13 kJ per mole of atoms


(11)
The following is a DFT calculation (PBE-GGA) of a relaxed PmSm3Sc2 crystal.

Cell: 11.655 11.655 10.028 Å, 107.41 107.41 16.80°
Positions (direct):
Pm (0.184, 0.184, 0.047)
Pm (0.816, 0.816, 0.953)
Sm (0.060, 0.060, 0.432)
Sm (0.198, 0.198, 0.707)
Sm (0.433, 0.433, 0.222)
Sm (0.567, 0.567, 0.778)
Sm (0.802, 0.802, 0.293)
Sm (0.940, 0.940, 0.568)
Sc (0.191, 0.191, 0.373)
Sc (0.428, 0.428, 0.859)
Sc (0.572, 0.572, 0.141)
Sc (0.809, 0.809, 0.627)

Values from the calculation:
* SG: No. 12
* calculated volume: 31.26 A^3/atom
* energy relative to the elements: 15 kJ per mole of atoms


(12)
The following is a DFT calculation (PBE-GGA) of a relaxed Pm4Sm2Sc crystal.

Cell: 7.084 8.620 8.842 Å, 61.03 89.97 78.18°
Positions (direct):
Pm (0.000, 0.000, 0.000)
Pm (0.028, 0.884, 0.447)
Pm (0.137, 0.439, 0.721)
Pm (0.321, 0.712, 0.864)
Pm (0.494, 0.002, 0.997)
Pm (0.639, 0.437, 0.722)
Pm (0.708, 0.152, 0.583)
Pm (0.851, 0.585, 0.300)
Sm (0.170, 0.312, 0.146)
Sm (0.210, 0.163, 0.575)
Sm (0.527, 0.883, 0.443)
Sm (0.672, 0.305, 0.150)
Sc (0.354, 0.577, 0.315)
Sc (0.820, 0.707, 0.856)

Values from the calculation:
* SG: No. 1
* calculated volume: 32.80 A^3/atom
* energy relative to the elements: 6 kJ per mole of atoms


(13)
The following is a DFT calculation (PBE-GGA) of a relaxed Pm2Sm7Sc2 crystal.

Cell: 7.038 7.038 9.304 Å, 110.58 110.58 58.71°
Positions (direct):
Pm (0.229, 0.229, 0.462)
Pm (0.771, 0.771, 0.538)
Sm (0.000, 0.000, 0.000)
Sm (0.004, 0.465, 0.820)
Sm (0.465, 0.004, 0.820)
Sm (0.500, 0.500, 0.175)
Sm (0.500, 0.500, 0.825)
Sm (0.535, 0.996, 0.180)
Sm (0.996, 0.535, 0.180)
Sc (0.256, 0.744, 0.500)
Sc (0.744, 0.256, 0.500)

Values from the calculation:
* SG: No. 12
* calculated volume: 32.77 A^3/atom
* energy relative to the elements: 19 kJ per mole of atoms


(14)
The following is a DFT calculation (PBE-GGA) of a relaxed PmSm6Sc2 crystal.

Cell: 7.310 7.310 11.950 Å, 108.27 108.27 86.84°
Positions (direct):
Pm (0.205, 0.795, 0.750)
Pm (0.795, 0.205, 0.250)
Sm (0.098, 0.875, 0.105)
Sm (0.125, 0.902, 0.395)
Sm (0.194, 0.481, 0.433)
Sm (0.288, 0.375, 0.151)
Sm (0.375, 0.288, 0.651)
Sm (0.481, 0.194, 0.933)
Sm (0.519, 0.806, 0.067)
Sm (0.625, 0.712, 0.349)
Sm (0.712, 0.625, 0.849)
Sm (0.806, 0.519, 0.567)
Sm (0.875, 0.098, 0.605)
Sm (0.902, 0.125, 0.895)
Sc (0.136, 0.471, 0.866)
Sc (0.471, 0.136, 0.366)
Sc (0.529, 0.864, 0.634)
Sc (0.864, 0.529, 0.134)

Values from the calculation:
* SG: No. 15
* calculated volume: 31.95 A^3/atom
* energy relative to the elements: 18 kJ per mole of atoms


(15)
The following is a DFT calculation (PBE-GGA) of a relaxed Pm4SmSc2 crystal.

Cell: 7.962 7.962 16.596 Å, 90.72 90.72 154.41°
Positions (direct):
Pm (0.115, 0.760, 0.925)
Pm (0.240, 0.885, 0.575)
Pm (0.318, 0.424, 0.580)
Pm (0.424, 0.318, 0.080)
Pm (0.576, 0.682, 0.920)
Pm (0.682, 0.576, 0.420)
Pm (0.760, 0.115, 0.425)
Pm (0.885, 0.240, 0.075)
Sm (0.306, 0.694, 0.750)
Sm (0.694, 0.306, 0.250)
Sc (0.019, 0.981, 0.250)
Sc (0.368, 0.632, 0.250)
Sc (0.632, 0.368, 0.750)
Sc (0.981, 0.019, 0.750)

Values from the calculation:
* SG: No. 15
* calculated volume: 32.41 A^3/atom
* energy relative to the elements: 22 kJ per mole of atoms


(16)
The following is a DFT calculation (PBE-GGA) of a relaxed Pm12Sm2Sc5 crystal.

Cell: 11.456 11.456 8.559 Å, 108.33 108.33 35.40°
Positions (direct):
Pm (0.044, 0.550, 0.708)
Pm (0.049, 0.049, 0.194)
Pm (0.138, 0.646, 0.112)
Pm (0.354, 0.862, 0.888)
Pm (0.356, 0.356, 0.439)
Pm (0.450, 0.956, 0.292)
Pm (0.550, 0.044, 0.708)
Pm (0.644, 0.644, 0.561)
Pm (0.646, 0.138, 0.112)
Pm (0.862, 0.354, 0.888)
Pm (0.951, 0.951, 0.806)
Pm (0.956, 0.450, 0.292)
Sm (0.245, 0.755, 0.500)
Sm (0.755, 0.245, 0.500)
Sc (0.151, 0.151, 0.597)
Sc (0.249, 0.249, 0.002)
Sc (0.500, 0.500, 0.000)
Sc (0.751, 0.751, 0.998)
Sc (0.849, 0.849, 0.403)

Values from the calculation:
* SG: No. 12
* calculated volume: 32.33 A^3/atom
* energy relative to the elements: 15 kJ per mole of atoms


(17)
The following is a DFT calculation (PBE-GGA) of a relaxed Pm4SmSc2 crystal.

Cell: 8.685 6.446 9.012 Å, 90.00 118.08 90.00°
Positions (direct):
Pm (0.109, 0.003, 0.232)
Pm (0.109, 0.497, 0.232)
Pm (0.141, 0.750, 0.584)
Pm (0.264, 0.250, 0.755)
Pm (0.736, 0.750, 0.245)
Pm (0.859, 0.250, 0.416)
Pm (0.891, 0.503, 0.768)
Pm (0.891, 0.997, 0.768)
Sm (0.436, 0.250, 0.175)
Sm (0.564, 0.750, 0.825)
Sc (0.304, 0.750, 0.008)
Sc (0.498, 0.250, 0.563)
Sc (0.502, 0.750, 0.437)
Sc (0.696, 0.250, 0.992)

Values from the calculation:
* SG: No. 11
* calculated volume: 31.80 A^3/atom
* energy relative to the elements: 18 kJ per mole of atoms


(18)
The following is a DFT calculation (PBE-GGA) of a relaxed Pm6SmSc crystal.

Cell: 5.773 5.773 9.270 Å, 102.24 102.24 76.94°
Positions (direct):
Pm (0.041, 0.555, 0.207)
Pm (0.134, 0.134, 0.426)
Pm (0.445, 0.959, 0.793)
Pm (0.555, 0.041, 0.207)
Pm (0.866, 0.866, 0.574)
Pm (0.959, 0.445, 0.793)
Sm (0.000, 0.000, 0.000)
Sc (0.500, 0.500, 0.500)

Values from the calculation:
* SG: No. 12
* calculated volume: 36.22 A^3/atom
* energy relative to the elements: 36 kJ per mole of atoms


(19)
The following is a DFT calculation (PBE-GGA) of a relaxed Pm4Sm2Sc crystal.

Cell: 7.161 7.161 5.934 Å, 90.00 90.00 129.48°
Positions (direct):
Pm (0.136, 0.864, 0.000)
Pm (0.311, 0.689, 0.500)
Pm (0.689, 0.311, 0.500)
Pm (0.864, 0.136, 0.000)
Sm (0.391, 0.609, 0.000)
Sm (0.609, 0.391, 0.000)
Sc (0.000, 0.000, 0.500)

Values from the calculation:
* SG: No. 65
* calculated volume: 33.56 A^3/atom
* energy relative to the elements: 47 kJ per mole of atoms


(20)
The following is a DFT calculation (PBE-GGA) of a relaxed PmSm3Sc3 crystal.

Cell: 6.577 6.577 6.577 Å, 109.49 109.49 109.49°
Positions (direct):
Pm (0.000, 0.000, 0.000)
Sm (0.122, 0.563, 0.563)
Sm (0.563, 0.122, 0.563)
Sm (0.563, 0.563, 0.122)
Sc (0.063, 0.063, 0.563)
Sc (0.063, 0.563, 0.063)
Sc (0.563, 0.063, 0.063)

Values from the calculation:
* SG: No. 160
* calculated volume: 31.27 A^3/atom
* energy relative to the elements: 24 kJ per mole of atoms